[1]
This record from Alexandria via LeMat-Bulk describes a relaxed structure of In4CuBr2. The functional is PBE.

Cell lengths 5.1148, 5.1148, 16.8547 Å; angles 90.00, 90.00, 90.00 degrees
With the nearest neighbours (Å) after each atom.
Sites, in units of the cell vectors:
In 0.0000 0.0000 0.1616  1 Cu 2.72
In 0.0000 0.0000 0.8384  1 Cu 2.72
In 0.0000 0.5000 0.0000  2 Cu 2.56
In 0.0000 0.5000 0.5000  2 Cu 2.56
In 0.5000 0.0000 0.0000  2 Cu 2.56
In 0.5000 0.0000 0.5000  2 Cu 2.56
In 0.5000 0.5000 0.3384  1 Cu 2.72
In 0.5000 0.5000 0.6616  1 Cu 2.72
Cu 0.0000 0.0000 0.0000  6 In 2.56-2.72
Cu 0.5000 0.5000 0.5000  6 In 2.56-2.72
Br 0.0000 0.0000 0.3472  1 In 3.13
Br 0.0000 0.0000 0.6528  1 In 3.13
Br 0.5000 0.5000 0.1528  1 In 3.13
Br 0.5000 0.5000 0.8472  1 In 3.13

Output
The calculation puts the calculated total energy at -2.8270 eV/atom. The value obtained for the energy relative to the elements, uncorrected is -1.4 eV per formula unit.

[2]
This record from Alexandria via LeMat-Bulk describes a relaxed structure of CoTcAs2. The functional is PBE.

Cell lengths 8.6234, 3.1269, 4.3257 Å; angles 90.00, 103.02, 90.00 degrees
With the nearest neighbours (Å) after each atom.
Sites, in units of the cell vectors:
Co 0.0000 0.0000 0.0000  5 As 2.44-2.58
Co 0.5000 0.5000 0.0000  5 As 2.44-2.58
Tc 0.2780 0.5000 0.4071  7 As 2.49-2.72
Tc 0.7780 0.0000 0.4071  7 As 2.49-2.72
As 0.0092 0.5000 0.5304  3 Tc 2.49, 4 Co 2.58-2.76
As 0.2704 0.0000 0.9175  3 Co 2.44-2.48, 4 Tc 2.62-2.72
As 0.5092 0.0000 0.5304  3 Tc 2.49, 4 Co 2.58-2.76
As 0.7704 0.5000 0.9175  3 Co 2.44-2.48, 4 Tc 2.62-2.72

Output
The calculation puts the calculated total energy at -6.7320 eV/atom. The value obtained for the polymorph energy (0 for the lowest one) is 0.15 eV per formula unit. The calculation puts the formation energy at -0.039 eV/atom.

[3]
This record from Alexandria via LeMat-Bulk describes a relaxed structure of Mg5ZnAu3. The functional is PBE.

Cell lengths 8.2218, 8.2218, 5.7024 Å; angles 90.00, 90.00, 120.00 degrees
With the nearest neighbours (Å) after each atom.
Sites, in units of the cell vectors:
Mg 0.0000 0.3056 0.2500  5 Au 2.74-2.89, 2 Zn 2.89
Mg 0.0000 0.6944 0.7500  5 Au 2.74-2.89, 2 Zn 2.89
Mg 0.3056 0.0000 0.2500  5 Au 2.74-2.89, 2 Zn 2.89
Mg 0.3056 0.3056 0.7500  5 Au 2.74-2.89, 2 Zn 2.89
Mg 0.3333 0.6667 0.0000  2 Mg 2.85, 6 Au 3.00
Mg 0.3333 0.6667 0.5000  2 Mg 2.85, 6 Au 3.00
Mg 0.6667 0.3333 0.0000  2 Mg 2.85, 6 Au 3.00
Mg 0.6667 0.3333 0.5000  2 Mg 2.85, 6 Au 3.00
Mg 0.6944 0.0000 0.7500  5 Au 2.74-2.89, 2 Zn 2.89
Mg 0.6944 0.6944 0.2500  5 Au 2.74-2.89, 2 Zn 2.89
Zn 0.0000 0.0000 0.0000  2 Zn 2.85, 6 Mg 2.89
Zn 0.0000 0.0000 0.5000  2 Zn 2.85, 6 Mg 2.89
Au 0.0000 0.3606 0.7500  9 Mg 2.74-3.00
Au 0.0000 0.6394 0.2500  9 Mg 2.74-3.00
Au 0.3606 0.0000 0.7500  9 Mg 2.74-3.00
Au 0.3606 0.3606 0.2500  9 Mg 2.74-3.00
Au 0.6394 0.0000 0.2500  9 Mg 2.74-3.00
Au 0.6394 0.6394 0.7500  9 Mg 2.74-3.00

Output
The calculation puts the calculated total energy at -2.5631 eV/atom. The calculation puts the formation energy at -0.443 eV/atom.

Number 1: total magnetic moment 0.0 μB per cell. Number 2: total magnetic moment 0.0 μB per cell. Number 3: total magnetic moment 0.0 μB per cell.